(1)
Al2Tc2Ge, optimized geometry, DFT PBEsol; N(E_F) = 2.217 states/eV per cell; total magnetization = 0.0 μB per cell; VASP energy = -7.389 eV per atom; volume = 14.87 Å³/atom; space group = No. 127
1.0
3.464 0.000 0.000
0.000 6.551 0.000
0.000 0.000 6.551
Tc Ge Al
4 2 4
direct
0.000 0.342 0.842
0.000 0.658 0.158
0.000 0.842 0.658
0.000 0.158 0.342
0.000 0.000 0.000
0.000 0.500 0.500
0.500 0.357 0.143
0.500 0.643 0.857
0.500 0.857 0.357
0.500 0.143 0.643

(2)
Pr5Sn10Ir4, optimized geometry, DFT PBEsol; N(E_F) = 17.157 states/eV per cell; total magnetization = 0.0 μB per cell; VASP energy = -6.374 eV per atom; volume = 23.81 Å³/atom; space group = No. 127
1.0
4.632 0.000 0.000
0.000 13.977 0.000
0.000 0.000 13.977
Ir Sn Pr
8 20 10
direct
0.000 0.974 0.754
0.000 0.754 0.026
0.000 0.474 0.746
0.000 0.026 0.246
0.000 0.526 0.254
0.000 0.254 0.474
0.000 0.246 0.974
0.000 0.746 0.526
0.000 0.698 0.344
0.500 0.838 0.003
0.500 0.003 0.162
0.500 0.162 0.997
0.000 0.430 0.930
0.000 0.198 0.156
0.000 0.656 0.698
0.500 0.503 0.338
0.000 0.930 0.570
0.000 0.570 0.070
0.500 0.997 0.838
0.000 0.302 0.656
0.000 0.844 0.198
0.500 0.497 0.662
0.500 0.662 0.503
0.000 0.802 0.844
0.000 0.344 0.302
0.500 0.338 0.497
0.000 0.070 0.430
0.000 0.156 0.802
0.500 0.612 0.888
0.000 0.000 0.000
0.500 0.677 0.177
0.500 0.112 0.612
0.500 0.823 0.677
0.500 0.177 0.323
0.500 0.388 0.112
0.500 0.323 0.823
0.000 0.500 0.500
0.500 0.888 0.388

(3)
Hf5In4Rh2, optimized geometry, DFT PBEsol; N(E_F) = 6.866 states/eV per cell; total magnetization = 0.0 μB per cell; VASP energy = -7.850 eV per atom; volume = 19.48 Å³/atom; space group = No. 55
1.0
-1.575 2.469 1.559
-5.473 -4.735 1.970
8.479 -3.760 14.514
In Hf Rh
8 10 4
direct
0.500 0.943 0.149
0.500 0.557 0.649
0.500 0.803 0.433
0.500 0.197 0.567
0.500 0.303 0.067
0.500 0.443 0.351
0.500 0.697 0.933
0.500 0.057 0.851
0.000 0.237 0.722
0.000 0.641 0.080
0.000 0.763 0.278
0.000 0.859 0.580
0.000 0.737 0.778
0.000 0.359 0.920
0.000 0.000 0.000
0.000 0.500 0.500
0.000 0.141 0.420
0.000 0.263 0.222
0.500 0.053 0.307
0.500 0.553 0.193
0.500 0.447 0.807
0.500 0.947 0.693

- What is the formula in the first record?
  Al2Tc2Ge

- What is the formula in the third record?
  Hf5In4Rh2

What did the third record say?
Hf5In4Rh2, optimized geometry, DFT PBEsol; N(E_F) = 6.866 states/eV per cell; total magnetization = 0.0 μB per cell; VASP energy = -7.850 eV per atom; volume = 19.48 Å³/atom; space group = No. 55
1.0
-1.575 2.469 1.559
-5.473 -4.735 1.970
8.479 -3.760 14.514
In Hf Rh
8 10 4
direct
0.500 0.943 0.149
0.500 0.557 0.649
0.500 0.803 0.433
0.500 0.197 0.567
0.500 0.303 0.067
0.500 0.443 0.351
0.500 0.697 0.933
0.500 0.057 0.851
0.000 0.237 0.722
0.000 0.641 0.080
0.000 0.763 0.278
0.000 0.859 0.580
0.000 0.737 0.778
0.000 0.359 0.920
0.000 0.000 0.000
0.000 0.500 0.500
0.000 0.141 0.420
0.000 0.263 0.222
0.500 0.053 0.307
0.500 0.553 0.193
0.500 0.447 0.807
0.500 0.947 0.693